The following is a PBE with a Hubbard U calculation of a geometry-optimized Ba3Mg2MoO8 structure, from Alexandria via LeMat-Bulk.

Cell: 5.8314 5.8314 7.5942 Å, 90.00 90.00 120.00°
Closest atoms and distances in Å follow each position.
Fractional coordinates of all 14 atoms:
Ba: 0.3333 0.6667 0.6624  1 O 2.37
Ba: 0.6667 0.3333 0.3376  1 O 2.37
Ba: 0.0000 0.0000 0.0000  12 O 3.09-3.37
Mg: 0.3333 0.6667 0.2214  4 O 1.87-2.03
Mg: 0.6667 0.3333 0.7786  4 O 1.87-2.03
Mo: 0.0000 0.0000 0.5000  6 O 1.96
O: 0.3333 0.6667 0.9751  1 Mg 1.87
O: 0.6667 0.3333 0.0249  1 Mg 1.87
O: 0.1570 0.8430 0.3485  1 Mo 1.96, 1 Mg 2.03
O: 0.8430 0.1570 0.6515  1 Mo 1.96, 1 Mg 2.03
O: 0.1570 0.3141 0.3485  1 Mo 1.96, 1 Mg 2.03
O: 0.8430 0.6859 0.6515  1 Mo 1.96, 1 Mg 2.03
O: 0.6859 0.8430 0.3485  1 Mo 1.96, 1 Mg 2.03
O: 0.3141 0.1570 0.6515  1 Mo 1.96, 1 Mg 2.03

Output
DFT total energy = -6.3164 eV per atom